An optimized crystal structure of PrDy5Bi4. Source: Alexandria, functional PBE.

## Properties
D(E_F) (states/eV/atom): 0.75
Space group: No. 12
Energy (hartree per atom): -0.1800

Cell lengths 4.443, 7.810, 11.575 Å; angles 119.83, 101.07, 90.00 degrees
Positions (direct):
Dy1 0.812 0.710 0.624
Bi1 0.064 0.356 0.129
Dy2 0.804 0.220 0.609
Dy3 0.188 0.290 0.376
Dy4 0.196 0.780 0.391
Bi2 0.363 0.054 0.726
Dy5 0.500 0.500 0.000
Pr1 0.500 0.000 0.000
Bi3 0.637 0.946 0.274
Bi4 0.936 0.644 0.871

An optimized crystal structure of Tm2Mg3Ga4. Source: Alexandria, functional PBE.

## Properties
D(E_F) (states/eV/atom): 0.56
Space group: No. 64
Energy (hartree per atom): -0.1175

Cell lengths 5.997, 7.568, 8.793 Å; angles 90.00, 109.94, 90.00 degrees
Positions (direct):
Ga1 0.663 0.524 0.326
Ga2 0.163 0.976 0.326
Ga3 0.837 0.024 0.674
Mg1 0.500 0.500 0.000
Ga4 0.337 0.476 0.674
Tm1 0.904 0.401 0.809
Ga5 0.317 0.250 0.134
Ga6 0.683 0.750 0.866
Ga7 0.183 0.750 0.866
Ga8 0.817 0.250 0.134
Mg2 0.000 0.000 0.000
Tm2 0.596 0.901 0.191
Mg3 0.514 0.750 0.529
Mg4 0.486 0.250 0.471
Mg5 0.014 0.750 0.529
Tm3 0.404 0.099 0.809
Mg6 0.986 0.250 0.471
Tm4 0.096 0.599 0.191

An optimized crystal structure of MnCr2Ru2. Source: Alexandria, functional PBE.

## Properties
D(E_F) (states/eV/atom): 1.13
Space group: No. 127
Energy (hartree per atom): -0.3356

Cell lengths 7.024, 7.024, 2.765 Å; angles 90.00, 90.00, 90.00 degrees
Positions (direct):
Mn1 0.000 0.000 0.000
Ru1 0.171 0.671 0.500
Cr1 0.373 0.873 0.000
Ru2 0.329 0.171 0.500
Ru3 0.829 0.329 0.500
Cr2 0.127 0.373 0.000
Cr3 0.627 0.127 0.000
Mn2 0.500 0.500 0.000
Ru4 0.671 0.829 0.500
Cr4 0.873 0.627 0.000

An optimized crystal structure of ThMgZnCd. Source: Alexandria, functional PBE.

## Properties
D(E_F) (states/eV/atom): 0.44
Space group: No. 216
Energy (hartree per atom): -0.1083

Cell lengths 5.107, 5.107, 5.107 Å; angles 60.00, 60.00, 60.00 degrees
Positions (direct):
Th1 0.500 0.500 0.500
Mg1 0.000 0.000 0.000
Zn1 0.750 0.750 0.750
Cd1 0.250 0.250 0.250

An optimized crystal structure of TePb3C. Source: Alexandria, functional PBE.

## Properties
Formation energy without anion corrections (meV/atom): 1774
D(E_F) (states/eV/atom): 0.57
Space group: No. 221
Energy (hartree per atom): -0.1075

Cell lengths 6.051, 6.051, 6.051 Å; angles 90.00, 90.00, 90.00 degrees
Positions (direct):
Pb1 0.500 0.000 0.000
Te1 0.000 0.000 0.000
Pb2 0.000 0.500 0.000
Pb3 0.000 0.000 0.500
C1 0.500 0.500 0.500

An optimized crystal structure of Sc2AgSb. Source: Alexandria, functional PBE.

## Properties
Formation energy without anion corrections (meV/atom): -496
D(E_F) (states/eV/atom): 0.69
Space group: No. 47
Energy (hartree per atom): -0.1986

Cell lengths 3.701, 3.680, 7.388 Å; angles 60.13, 90.00, 90.00 degrees
Positions (direct):
Sb1 0.500 0.750 0.750
Sc1 0.000 0.002 0.998
Sc2 0.000 0.498 0.502
Ag1 0.500 0.250 0.250